MnAg2PtF PBE+U relaxed; Fermi-level density of states = 1.68 states/eV/cell; raw total energy = -3.957 eV per atom
1.0
5.233 0.000 0.000
0.000 5.233 0.000
0.000 0.000 4.046
Mn Ag Pt F
1 2 1 1
Direct
0.000 0.000 0.000
0.000 0.500 0.500
0.500 0.000 0.500
0.500 0.500 0.500
0.500 0.500 0.000